The following is a PBE calculation of crystalline ErSc3Co at its relaxed geometry, from Alexandria via LeMat-Bulk.

abc: 6.388 6.388 10.460
angles: 93.47 93.47 32.11
Fractional coordinates of all 10 atoms:
Er  0.146  0.146  0.085
Er  0.854  0.854  0.915
Sc  0.060  0.060  0.374
Sc  0.226  0.226  0.636
Sc  0.422  0.422  0.177
Sc  0.578  0.578  0.823
Sc  0.774  0.774  0.364
Sc  0.940  0.940  0.626
Co  0.409  0.409  0.439
Co  0.591  0.591  0.561

Summary:
Total energy, eV per atom: -6.25
Excess energy over the best structure of this formula in the dataset, eV per atom: 0.0000
Formation energy, eV per atom: -0.1207


The following is a PBE calculation of crystalline BaLi2TiBr8 at its relaxed geometry, from Alexandria via LeMat-Bulk.

abc: 6.657 6.657 9.171
angles: 90.00 90.00 120.00
Fractional coordinates of all 12 atoms:
Ba  0.000  0.000  0.000
Li  0.333  0.667  0.724
Li  0.667  0.333  0.276
Ti  0.000  0.000  0.500
Br  0.036  0.715  0.336
Br  0.285  0.321  0.336
Br  0.321  0.036  0.664
Br  0.333  0.667  0.987
Br  0.667  0.333  0.013
Br  0.679  0.964  0.336
Br  0.715  0.679  0.664
Br  0.964  0.285  0.664

Summary:
Total energy, eV per atom: -3.70
Energy relative to the elements, uncorrected, meV per atom: -1447


The following is a PBE calculation of crystalline BaZn4Pd at its relaxed geometry, from Alexandria via LeMat-Bulk.

abc: 7.751 7.751 7.040
angles: 90.00 90.00 141.69
Fractional coordinates of all 12 atoms:
Ba  0.098  0.902  0.750
Ba  0.902  0.098  0.250
Zn  0.137  0.863  0.250
Zn  0.288  0.712  0.058
Zn  0.288  0.712  0.442
Zn  0.500  0.500  0.000
Zn  0.500  0.500  0.500
Zn  0.712  0.288  0.558
Zn  0.712  0.288  0.942
Zn  0.863  0.137  0.750
Pd  0.380  0.620  0.750
Pd  0.620  0.380  0.250

Summary:
Total energy, eV per atom: -2.29
Excess energy over the best structure of this formula in the dataset, eV per atom: 0.0000
Formation energy, eV per atom: -0.2584


The following is a PBE calculation of crystalline BeCuAs2 at its relaxed geometry, from Alexandria via LeMat-Bulk.

abc: 3.590 3.875 10.447
angles: 90.00 90.00 90.00
Fractional coordinates of all 8 atoms:
Be  0.000  0.000  0.000
Be  0.500  0.500  0.500
Cu  0.000  0.000  0.500
Cu  0.500  0.500  0.000
As  0.000  0.500  0.362
As  0.000  0.500  0.638
As  0.500  0.000  0.138
As  0.500  0.000  0.862

Summary:
Total energy, eV per atom: -4.12
Formation energy, eV per atom: 0.1579